Entry 1:
Here is Be2CdAg after structural relaxation from the Open Quantum Materials Database. Energies are from PBE.

a b c (Å): 6.1369 6.1369 6.1369
angles (deg): 90.00 90.00 90.00
With the nearest neighbours (Å) after each atom.
Space group F-43m (No. 216)
One atom of each set of equivalent atoms:
Be1 0.0000 0.0000 0.0000 (multiplicity 4)  4 Be 2.66, 4 Ag 2.66
Be2 0.2500 0.2500 0.2500 (multiplicity 4)  4 Cd 2.66, 4 Be 2.66
Cd1 0.0000 0.0000 0.5000 (multiplicity 4)  4 Be 2.66, 4 Ag 2.66
Ag1 0.2500 0.2500 0.7500 (multiplicity 4)  4 Cd 2.66, 4 Be 2.66

- VASP energy: -2.370 eV/atom

***

Entry 2:
Here is Cu4Ag after structural relaxation from the Open Quantum Materials Database. Energies are from PBE.

a b c (Å): 11.2105 2.6944 8.8055
angles (deg): 90.00 101.14 90.00
With the nearest neighbours (Å) after each atom.
Space group C2/m (No. 12)
One atom of each set of equivalent atoms:
Cu1 0.0000 0.0000 0.0000 (multiplicity 2)  8 Cu 2.55-2.73, 4 Ag 2.66
Cu2 0.0000 0.5000 0.5000 (multiplicity 2)  10 Cu 2.62-2.69, 2 Ag 2.65
Cu3 0.1082 0.0000 0.3054 (multiplicity 4)  10 Cu 2.53-2.73, 2 Ag 2.70
Cu4 0.1923 0.5000 0.1022 (multiplicity 4)  9 Cu 2.55-2.76, 3 Ag 2.68
Cu5 0.2010 0.0000 0.5916 (multiplicity 4)  10 Cu 2.51-2.73, 2 Ag 2.67
Ag1 0.1010 0.5000 0.7976 (multiplicity 4)  10 Cu 2.65-2.70, 2 Ag 2.69

- Energy relative to the lowest polymorph listed for this composition: 30 meV/atom
- Energy relative to the elements: 0.07 eV per atom

***

Entry 3:
Here is RbHoHgS3 after structural relaxation from the Open Quantum Materials Database. Energies are from PBE.

a b c (Å): 8.5351 4.1191 10.3458
angles (deg): 90.00 109.44 90.00
With the nearest neighbours (Å) after each atom.
Space group P2_1/m (No. 11)
One atom of each set of equivalent atoms:
Rb1 0.2460 0.2500 0.2647 (multiplicity 2)  6 S 3.34-3.69
Ho1 0.3245 0.7500 0.8679 (multiplicity 2)  5 S 2.65-2.80
Hg1 0.0924 0.2500 0.6171 (multiplicity 2)  3 S 2.50-2.60
S1 0.0999 0.2500 0.8604 (multiplicity 2)  1 Hg 2.50
S2 0.2426 0.7500 0.5602 (multiplicity 2)  3 Hg 2.60-2.84
S3 0.4662 0.7500 0.1376 (multiplicity 2)  3 Ho 2.65-2.74

- Energy relative to the lowest polymorph listed for this composition: 25 meV/atom
- M_tot: 0.0 Bohr magnetons per cell

***

Entry 4:
Here is ErTlPt after structural relaxation from the Open Quantum Materials Database. Energies are from PBE.

a b c (Å): 6.6865 6.6865 6.6865
angles (deg): 90.00 90.00 90.00
With the nearest neighbours (Å) after each atom.
Space group F-43m (No. 216)
One atom of each set of equivalent atoms:
Er1 0.0000 0.0000 0.0000 (multiplicity 4)  4 Tl 2.90
Tl1 0.2500 0.2500 0.2500 (multiplicity 4)  4 Er 2.90, 4 Pt 2.90
Pt1 0.0000 0.0000 0.5000 (multiplicity 4)  4 Tl 2.90

- VASP energy: -4.509 eV/atom
- M_tot: 0.6 Bohr magnetons per cell